Here is a relaxed PrPuS2 crystal from the Alexandria database. Energies are from PBE-GGA.

## Properties
As for the symmetry: P6_3/mmc (194). Its energy relative to the elements, uncorrected is -1842 meV/atom. The energy relative to the lowest polymorph listed for this composition is 0.066 eV per atom.

Cell lengths 3.9675, 3.9675, 13.7421 Å; angles 90.00, 90.00, 120.00 degrees
Closest atoms and distances in Å follow each position.
Positions (direct):
1 Pr 0.0000 0.0000 0.5000  6 S 2.88
2 Pr 0.0000 0.0000 0.0000  6 S 2.88
3 Pu 0.6667 0.3333 0.2500  6 S 2.84
4 Pu 0.3333 0.6667 0.7500  6 S 2.84
5 S 0.3333 0.6667 0.3724  3 Pu 2.84, 3 Pr 2.88
6 S 0.6667 0.3333 0.8724  3 Pu 2.84, 3 Pr 2.88
7 S 0.6667 0.3333 0.6276  3 Pu 2.84, 3 Pr 2.88
8 S 0.3333 0.6667 0.1276  3 Pu 2.84, 3 Pr 2.88